# InMoOs2 (SCAN, PBEsol geometry)
data_InMoOs2
_symmetry_space_group_name_H-M 'P m m m'
_symmetry_Int_Tables_number 47
_symmetry_space_group_name_Hall '-P 2 2'
_cell_length_a 2.843
_cell_length_b 3.760
_cell_length_c 5.871
_cell_angle_alpha 90.00
_cell_angle_beta 90.00
_cell_angle_gamma 90.00
loop_
_atom_site_label
_atom_site_type_symbol
_atom_site_fract_x
_atom_site_fract_y
_atom_site_fract_z
In1 In 0.000 0.000 0.000
Mo1 Mo 0.000 0.000 0.500
Os1 Os 0.500 0.500 0.271
# formation enthalpy at 0 K = 0.32 eV per atom
# total magnetization = 0.000 μB/atom
# DOS(E_F) = 3.13 states/eV per cell